# LiTm3 GGA-PBE optimized geometry
data_LiTm3
_chemical_formula_sum 'Li1 Tm3'
_symmetry_space_group_name_H-M 'P m m 2'
_symmetry_Int_Tables_number 25
_symmetry_space_group_name_Hall 'P 2 -2'
_cell_length_a 3.2988
_cell_length_b 3.3810
_cell_length_c 10.5270
_cell_angle_alpha 90.00
_cell_angle_beta 90.00
_cell_angle_gamma 90.00
loop_
_atom_site_label
_atom_site_fract_x
_atom_site_fract_y
_atom_site_fract_z
Li1 0.0000 0.0000 0.0000
Tm1 0.0000 0.5000 0.2619
Tm2 0.5000 0.0000 0.4933
Tm3 0.5000 0.5000 0.7739
# ΔH_f (0 K) in meV/atom: 295
# Size of the total moment in Bohr magnetons per cell: 0.46